Here is a relaxed InPbAu3O4 crystal from OQMD. Energies are from PBE.

Its space group is P-43m, No. 215. The raw total energy comes out at -4.080 eV/atom.

Cell: 5.4355 5.4355 5.4355 Å, 90.00 90.00 90.00°
Last column: nearest neighbours and their distance in Å.
Fractional coordinates of all 9 atoms:
1 Au 0.5000 0.5000 0.0000  4 O 2.44, 2 Pb 2.72
2 Au 0.5000 0.0000 0.5000  4 O 2.44, 2 Pb 2.72
3 Au 0.0000 0.5000 0.5000  4 O 2.44, 2 Pb 2.72
4 In 0.0000 0.0000 0.0000  4 O 2.11
5 O 0.2245 0.2245 0.2245  1 In 2.11
6 O 0.7755 0.7755 0.2245  1 In 2.11
7 O 0.7755 0.2245 0.7755  1 In 2.11
8 O 0.2245 0.7755 0.7755  1 In 2.11
9 Pb 0.5000 0.5000 0.5000  4 O 2.59, 6 Au 2.72